Below is Ta2Si2Te after structural relaxation, with properties calculated at the PBE level.

Cell lengths 7.388, 7.388, 3.311 Å; angles 90.00, 90.00, 90.00 degrees
Positions (direct):
Ta 0.157 0.343 0.000
Ta 0.343 0.843 0.000
Ta 0.657 0.157 0.000
Ta 0.843 0.657 0.000
Si 0.127 0.627 0.500
Si 0.373 0.127 0.500
Si 0.627 0.873 0.500
Si 0.873 0.373 0.500
Te 0.000 0.000 0.000
Te 0.500 0.500 0.000

Values from the calculation:
For the formation energy from raw total energies, the calculation gives -0.059 eV/atom. The size of the total moment comes out at 0.000 μB per atom. The calculation puts the volume at 18.073 Å³/atom.

Below is Ta3SiTe6 after structural relaxation, with properties calculated at the PBE level.

Cell lengths 6.407, 14.865, 11.566 Å; angles 90.00, 90.00, 90.00 degrees
Positions (direct):
Ta 0.032 0.250 0.188
Ta 0.167 0.750 0.335
Ta 0.197 0.750 0.033
Ta 0.303 0.250 0.533
Ta 0.333 0.250 0.835
Ta 0.468 0.750 0.688
Ta 0.532 0.250 0.312
Ta 0.667 0.750 0.165
Ta 0.697 0.750 0.467
Ta 0.803 0.250 0.967
Ta 0.833 0.250 0.665
Ta 0.968 0.750 0.812
Si 0.075 0.750 0.575
Si 0.425 0.250 0.075
Si 0.575 0.750 0.925
Si 0.925 0.250 0.425
Te 0.145 0.127 0.997
Te 0.145 0.373 0.997
Te 0.151 0.121 0.682
Te 0.151 0.379 0.682
Te 0.204 0.123 0.344
Te 0.204 0.377 0.344
Te 0.296 0.623 0.844
Te 0.296 0.877 0.844
Te 0.349 0.621 0.182
Te 0.349 0.879 0.182
Te 0.355 0.627 0.497
Te 0.355 0.873 0.497
Te 0.645 0.127 0.503
Te 0.645 0.373 0.503
Te 0.651 0.121 0.818
Te 0.651 0.379 0.818
Te 0.704 0.123 0.156
Te 0.704 0.377 0.156
Te 0.796 0.623 0.656
Te 0.796 0.877 0.656
Te 0.849 0.621 0.318
Te 0.849 0.879 0.318
Te 0.855 0.627 0.003
Te 0.855 0.873 0.003

Values from the calculation:
For the formation energy from raw total energies, the calculation gives -0.392 eV/atom. The size of the total moment comes out at 0.000 μB per atom. The calculation puts the volume at 27.538 Å³/atom.

Below is TaSi2Te8 after structural relaxation, with properties calculated at the PBE level.

Cell lengths 7.743, 7.743, 6.251 Å; angles 92.43, 92.43, 91.91 degrees
Positions (direct):
Ta 0.000 0.000 0.000
Si 0.216 0.216 0.441
Si 0.784 0.784 0.559
Te 0.095 0.739 0.702
Te 0.238 0.238 0.855
Te 0.261 0.905 0.298
Te 0.431 0.431 0.290
Te 0.569 0.569 0.710
Te 0.739 0.095 0.702
Te 0.762 0.762 0.145
Te 0.905 0.261 0.298

Values from the calculation:
For the formation energy from raw total energies, the calculation gives -0.015 eV/atom. The size of the total moment comes out at 0.000 μB per atom. The calculation puts the volume at 33.990 Å³/atom.